# Ba2CoPb PBE relaxed
data_Ba2CoPb
_chemical_formula_sum 'Ba8 Co4 Pb4'
_cell_length_a 7.872
_cell_length_b 7.872
_cell_length_c 7.872
_cell_angle_alpha 90.00
_cell_angle_beta 90.00
_cell_angle_gamma 90.00
_symmetry_space_group_name_H-M 'F -4 3 m'
_symmetry_Int_Tables_number 216
_symmetry_space_group_name_Hall 'F -4 2 3'
loop_
_atom_site_label
_atom_site_fract_x
_atom_site_fract_y
_atom_site_fract_z
_atom_site_occupancy
Ba1 0.000 0.000 0.000 1
Ba2 0.250 0.250 0.250 1
Co1 0.000 0.000 0.500 1
Pb1 0.250 0.250 0.750 1
# calculated total energy: -3.372 eV per atom